1.
{"formula": "SrNb3I", "functional": "SCAN", "state": "PBEsol geometry", "final_energy_ev_per_atom": -30.336, "e_form_raw_ev_per_atom": 1.345, "volume_a3_per_atom": 26.48, "lattice": [[-3.037, -4.087, -0.221], [1.842, -1.611, 4.471], [-3.655, 2.584, 2.437]], "species": ["I", "Sr", "Nb", "Nb", "Nb"], "fractional_positions": [[0.000, 0.000, 0.000], [0.500, 0.500, 0.500], [0.000, 0.500, 0.000], [0.000, 0.000, 0.500], [0.500, 0.000, 0.000]]}

2.
{"formula": "Ta2NbTeI7", "functional": "SCAN", "state": "PBEsol geometry", "final_energy_ev_per_atom": -42.370, "e_form_raw_ev_per_atom": -0.485, "volume_a3_per_atom": 31.25, "lattice": [[7.548, 0.002, 0.003], [3.773, 6.537, 0.003], [-0.022, -0.013, 13.934]], "species": ["Ta", "Ta", "Ta", "Ta", "Nb", "Nb", "Te", "Te", "I", "I", "I", "I", "I", "I", "I", "I", "I", "I", "I", "I", "I", "I"], "fractional_positions": [[0.132, 0.132, 0.250], [0.737, 0.132, 0.250], [0.132, 0.737, 0.250], [0.867, 0.867, 0.749], [0.265, 0.868, 0.750], [0.868, 0.265, 0.750], [0.000, 0.000, 0.099], [0.999, 0.999, 0.600], [0.502, 0.502, 0.142], [0.995, 0.502, 0.142], [0.502, 0.995, 0.142], [0.499, 0.499, 0.639], [0.006, 0.499, 0.640], [0.499, 0.006, 0.640], [0.169, 0.169, 0.883], [0.661, 0.167, 0.881], [0.167, 0.661, 0.881], [0.831, 0.831, 0.382], [0.338, 0.831, 0.382], [0.831, 0.338, 0.382], [0.667, 0.667, 0.852], [0.333, 0.333, 0.352]]}

3.
{"formula": "NbTe4I6", "functional": "SCAN", "state": "PBEsol geometry", "final_energy_ev_per_atom": -36.867, "e_form_raw_ev_per_atom": -0.269, "volume_a3_per_atom": 39.56, "lattice": [[7.777, 0.079, -0.101], [-1.469, 10.853, -0.106], [-3.624, -5.028, 10.403]], "species": ["Nb", "Nb", "Te", "Te", "Te", "Te", "Te", "Te", "Te", "Te", "I", "I", "I", "I", "I", "I", "I", "I", "I", "I", "I", "I"], "fractional_positions": [[0.484, 0.347, 0.457], [0.516, 0.653, 0.543], [0.591, 0.852, 0.804], [0.734, 0.519, 0.417], [0.266, 0.481, 0.583], [0.516, 0.210, 0.621], [0.801, 0.555, 0.662], [0.484, 0.790, 0.379], [0.409, 0.148, 0.196], [0.199, 0.445, 0.338], [0.818, 0.908, 0.647], [0.152, 0.647, 0.149], [0.182, 0.092, 0.353], [0.685, 0.216, 0.111], [0.726, 0.736, 0.249], [0.274, 0.264, 0.751], [0.875, 0.803, 0.980], [0.848, 0.353, 0.851], [0.259, 0.828, 0.557], [0.125, 0.197, 0.020], [0.315, 0.784, 0.889], [0.741, 0.172, 0.443]]}

4.
{"formula": "NbTlTe2I", "functional": "SCAN", "state": "PBEsol geometry", "final_energy_ev_per_atom": -42.325, "e_form_raw_ev_per_atom": 1.022, "volume_a3_per_atom": 35.70, "lattice": [[5.597, 0.000, 0.000], [0.000, 5.597, 0.000], [0.000, 0.000, 5.698]], "species": ["I", "Tl", "Te", "Te", "Nb"], "fractional_positions": [[0.000, 0.000, 0.500], [0.000, 0.000, 0.000], [0.000, 0.500, 0.000], [0.500, 0.000, 0.000], [0.500, 0.500, 0.500]]}

5.
{"formula": "NbTe2WI", "functional": "SCAN", "state": "PBEsol geometry", "final_energy_ev_per_atom": -41.599, "e_form_raw_ev_per_atom": 1.214, "volume_a3_per_atom": 29.24, "lattice": [[5.188, 0.000, 0.000], [0.000, 5.188, 0.000], [0.000, 0.000, 5.431]], "species": ["I", "Nb", "Te", "Te", "W"], "fractional_positions": [[0.000, 0.000, 0.500], [0.500, 0.500, 0.500], [0.000, 0.500, 0.000], [0.500, 0.000, 0.000], [0.000, 0.000, 0.000]]}

6.
{"formula": "NbZnTeI2", "functional": "SCAN", "state": "PBEsol geometry", "final_energy_ev_per_atom": -30.792, "e_form_raw_ev_per_atom": 0.684, "volume_a3_per_atom": 29.40, "lattice": [[5.268, 0.000, 0.000], [0.000, 5.268, 0.000], [0.000, 0.000, 5.297]], "species": ["I", "I", "Nb", "Te", "Zn"], "fractional_positions": [[0.000, 0.500, 0.000], [0.500, 0.000, 0.000], [0.500, 0.500, 0.500], [0.000, 0.000, 0.500], [0.000, 0.000, 0.000]]}

7.
{"formula": "TiNb3I", "functional": "SCAN", "state": "PBEsol geometry", "final_energy_ev_per_atom": -28.815, "e_form_raw_ev_per_atom": 1.617, "volume_a3_per_atom": 23.86, "lattice": [[-0.219, 4.810, 1.024], [-1.485, 0.913, -4.604], [-4.688, -0.514, 1.410]], "species": ["I", "Nb", "Nb", "Nb", "Ti"], "fractional_positions": [[0.000, 0.000, 0.000], [0.000, 0.500, 0.000], [0.000, 0.000, 0.500], [0.500, 0.000, 0.000], [0.500, 0.500, 0.500]]}

8.
{"formula": "NdI3", "functional": "SCAN", "state": "PBEsol geometry", "final_energy_ev_per_atom": -39.957, "e_form_raw_ev_per_atom": -1.505, "volume_a3_per_atom": 50.81, "lattice": [[-0.086, -3.742, 1.587], [9.683, -2.006, -4.203], [-0.814, 4.201, 9.856]], "species": ["I", "I", "I", "I", "I", "I", "Nd", "Nd"], "fractional_positions": [[0.250, 0.585, 0.793], [0.750, 0.793, 0.207], [0.750, 0.793, 0.585], [0.750, 0.415, 0.207], [0.250, 0.207, 0.793], [0.250, 0.207, 0.415], [0.250, 0.667, 0.333], [0.750, 0.333, 0.667]]}

9.
{"formula": "NdI3O9", "functional": "SCAN", "state": "PBEsol geometry", "final_energy_ev_per_atom": -17.260, "e_form_raw_ev_per_atom": -1.115, "volume_a3_per_atom": 14.69, "lattice": [[-2.701, -0.614, 5.099], [-0.736, -8.624, -1.429], [13.381, -0.414, 7.039]], "species": ["Nd", "Nd", "Nd", "Nd", "I", "I", "I", "I", "I", "I", "I", "I", "I", "I", "I", "I", "O", "O", "O", "O", "O", "O", "O", "O", "O", "O", "O", "O", "O", "O", "O", "O", "O", "O", "O", "O", "O", "O", "O", "O", "O", "O", "O", "O", "O", "O", "O", "O", "O", "O", "O", "O"], "fractional_positions": [[0.235, 0.961, 0.098], [0.265, 0.461, 0.598], [0.735, 0.539, 0.402], [0.765, 0.039, 0.902], [0.187, 0.276, 0.348], [0.644, 0.161, 0.523], [0.094, 0.117, 0.701], [0.144, 0.339, 0.977], [0.813, 0.724, 0.652], [0.356, 0.839, 0.477], [0.906, 0.883, 0.299], [0.594, 0.383, 0.799], [0.313, 0.776, 0.848], [0.687, 0.224, 0.152], [0.406, 0.617, 0.201], [0.856, 0.661, 0.023], [0.408, 0.446, 0.118], [0.468, 0.216, 0.623], [0.092, 0.946, 0.618], [0.532, 0.784, 0.377], [0.097, 0.584, 0.947], [0.306, 0.411, 0.755], [0.924, 0.633, 0.544], [0.032, 0.716, 0.123], [0.887, 0.068, 0.173], [0.387, 0.432, 0.327], [0.424, 0.867, 0.956], [0.968, 0.284, 0.877], [0.008, 0.739, 0.370], [0.992, 0.261, 0.630], [0.403, 0.084, 0.447], [0.561, 0.851, 0.791], [0.597, 0.916, 0.553], [0.492, 0.239, 0.870], [0.583, 0.355, 0.489], [0.592, 0.554, 0.882], [0.903, 0.416, 0.053], [0.083, 0.145, 0.011], [0.194, 0.911, 0.255], [0.806, 0.089, 0.745], [0.061, 0.649, 0.709], [0.439, 0.149, 0.209], [0.939, 0.351, 0.291], [0.917, 0.855, 0.989], [0.417, 0.645, 0.511], [0.613, 0.568, 0.673], [0.694, 0.589, 0.245], [0.076, 0.367, 0.456], [0.508, 0.761, 0.130], [0.113, 0.932, 0.827], [0.908, 0.054, 0.382], [0.576, 0.133, 0.044]]}

10.
{"formula": "Rb2NdI5", "functional": "SCAN", "state": "PBEsol geometry", "final_energy_ev_per_atom": -35.249, "e_form_raw_ev_per_atom": -1.653, "volume_a3_per_atom": 40.86, "lattice": [[-0.012, 1.923, 8.995], [-5.166, -8.234, 1.754], [12.267, -7.358, 1.589]], "species": ["Rb", "Rb", "Rb", "Rb", "Rb", "Rb", "Rb", "Rb", "Nd", "Nd", "Nd", "Nd", "I", "I", "I", "I", "I", "I", "I", "I", "I", "I", "I", "I", "I", "I", "I", "I", "I", "I", "I", "I"], "fractional_positions": [[0.079, 0.992, 0.829], [0.921, 0.008, 0.171], [0.579, 0.008, 0.671], [0.921, 0.492, 0.171], [0.421, 0.992, 0.329], [0.079, 0.508, 0.829], [0.421, 0.508, 0.329], [0.579, 0.492, 0.671], [0.080, 0.250, 0.507], [0.920, 0.750, 0.493], [0.580, 0.750, 0.993], [0.420, 0.250, 0.007], [0.892, 0.250, 0.688], [0.108, 0.750, 0.312], [0.392, 0.750, 0.812], [0.608, 0.250, 0.188], [0.174, 0.952, 0.566], [0.826, 0.048, 0.434], [0.674, 0.048, 0.934], [0.826, 0.452, 0.434], [0.326, 0.952, 0.066], [0.174, 0.548, 0.566], [0.326, 0.548, 0.066], [0.674, 0.452, 0.934], [0.425, 0.250, 0.508], [0.575, 0.750, 0.492], [0.925, 0.750, 0.992], [0.075, 0.250, 0.008], [0.354, 0.250, 0.794], [0.646, 0.750, 0.206], [0.854, 0.750, 0.706], [0.146, 0.250, 0.294]]}

11.
{"formula": "NiI2O6", "functional": "SCAN", "state": "PBEsol geometry", "final_energy_ev_per_atom": -14.729, "e_form_raw_ev_per_atom": -0.613, "volume_a3_per_atom": 13.58, "lattice": [[4.953, 0.000, 0.000], [0.000, 5.360, 0.001], [0.000, -0.018, 9.204]], "species": ["Ni", "Ni", "I", "I", "I", "I", "O", "O", "O", "O", "O", "O", "O", "O", "O", "O", "O", "O"], "fractional_positions": [[0.416, 0.268, 0.753], [0.916, 0.732, 0.247], [0.474, 0.762, 0.569], [0.974, 0.238, 0.431], [0.993, 0.768, 0.902], [0.493, 0.232, 0.098], [0.210, 0.151, 0.581], [0.710, 0.849, 0.419], [0.194, 0.062, 0.899], [0.694, 0.938, 0.101], [0.644, 0.970, 0.703], [0.144, 0.030, 0.297], [0.139, 0.642, 0.071], [0.639, 0.358, 0.929], [0.208, 0.591, 0.771], [0.708, 0.409, 0.229], [0.160, 0.523, 0.375], [0.660, 0.477, 0.625]]}

12.
{"formula": "NiI2O6", "functional": "SCAN", "state": "PBEsol geometry", "final_energy_ev_per_atom": -14.560, "e_form_raw_ev_per_atom": -0.444, "volume_a3_per_atom": 15.72, "lattice": [[-4.719, -0.287, 1.373], [-0.483, -5.056, -2.718], [1.600, 0.155, 5.532]], "species": ["Ni", "I", "I", "O", "O", "O", "O", "O", "O"], "fractional_positions": [[0.000, 0.000, 0.000], [0.968, 0.333, 0.667], [0.032, 0.667, 0.333], [0.781, 0.653, 0.827], [0.781, 0.173, 0.827], [0.781, 0.173, 0.347], [0.219, 0.347, 0.173], [0.219, 0.827, 0.173], [0.219, 0.827, 0.653]]}